## La2ThNi2 (PBE)

Data for crystalline La2ThNi2 at its relaxed geometry.

crystal system = monoclinic
DOS at the Fermi energy = 5.334 states/eV/f.u.
DFT formation energy = -317 meV per atom

CIF file:
```
data_La2ThNi2
_chemical_formula_sum 'La8 Th4 Ni8'
_symmetry_space_group_name_H-M 'C 1 2/c 1'
_symmetry_Int_Tables_number 15
_symmetry_space_group_name_Hall '-C 2yc'
_cell_length_a 11.150
_cell_length_b 6.490
_cell_length_c 7.207
_cell_angle_alpha 90.00
_cell_angle_beta 101.15
_cell_angle_gamma 90.00
loop_
_atom_site_label
_atom_site_fract_x
_atom_site_fract_y
_atom_site_fract_z
_atom_site_occupancy
La1 0.154 0.102 0.149 1
Th1 0.000 0.426 0.750 1
Ni1 0.147 0.332 0.502 1
```